Record 1
19
Lattice="5.001 2.887 4.866 -5.001 2.887 4.866 0.000 -5.774 4.866" Properties=species:S:1:pos:R:3 comment="PBE-GGA Pu2Cd12Ag5, optimized geometry" energy_ev_per_atom=-2.865 ef_ev_per_atom=-0.028 spacegroup="R-3m, No. 166" m_tot_mub_per_cell=11.99 dos_at_fermi_per_ev_cell=33.71 pbc="T T T"
Pu 0.000 0.000 2.282
Pu 0.000 0.000 12.317
Cd 0.000 -2.884 4.601
Cd -2.498 1.442 4.601
Cd -1.482 -2.567 7.299
Cd -2.964 0.000 7.299
Cd -2.498 -1.442 9.998
Cd 1.482 -2.567 7.299
Cd -1.482 2.567 7.299
Cd 2.498 1.442 4.601
Cd 2.964 0.000 7.299
Cd 1.482 2.567 7.299
Cd 2.498 -1.442 9.998
Cd 0.000 2.884 9.998
Ag -2.500 -1.444 4.866
Ag 0.000 0.000 5.713
Ag -2.500 1.444 9.733
Ag 0.000 2.887 4.866
Ag 0.000 0.000 8.886

***

Record 2
12
Lattice="9.739 0.000 0.000 0.000 3.030 0.000 0.000 0.000 9.111" Properties=species:S:1:pos:R:3 comment="PBE-GGA PuCd4Ag, optimized geometry" relative_energy_mev_per_atom=0 energy_ev_per_atom=-3.535 ef_ev_per_atom=-0.061 spacegroup="Pmma, No. 51" m_tot_mub_per_cell=12.00 dos_at_fermi_per_ev_cell=18.17 pbc="T T T"
Pu 2.435 0.000 0.337
Pu 7.305 0.000 8.774
Cd 0.000 0.000 4.556
Cd 0.220 1.515 7.441
Cd 2.435 1.515 3.348
Cd 4.650 1.515 7.441
Cd 4.870 0.000 4.556
Cd 5.090 1.515 1.670
Cd 7.305 1.515 5.763
Cd 9.519 1.515 1.670
Ag 2.435 0.000 6.138
Ag 7.305 0.000 2.973